The following is a DFT calculation (SCAN) of a PBEsol-optimized structure of FeNi2Ru.

It has space group Pmm2 (No. 25), with a = 2.5011 Å, b = 4.0863 Å, c = 4.4456 Å, α = 90.00°, β = 90.00° and γ = 90.00°. The asymmetric unit holds Fe at (0.0000, 0.0000, 0.0000), Ni at (0.5000, 0.0000, 0.5082), Ni at (0.5000, 0.5000, 0.8248) and Ru at (0.0000, 0.5000, 0.3291).

Its electronic total energy is -21.310 eV/atom. For the spin magnetization, the calculation gives 4.55 μB per formula unit. For the formation energy, the calculation gives 0.016 eV per atom.